# DyPuPtAu

A geometry-optimized DyPuPtAu structure (PBE, Alexandria).

Calculated values
E_form: -3.22 eV per formula unit
size of the total moment: 5.828 Bohr magnetons per cell

Cell: 3.5122 3.5122 7.3275 Å, 90.00 90.00 90.00°
Space group P4mm (No. 99)
Asymmetric unit:
1 Dy 0.0000 0.0000 0.0000 (multiplicity 1)
2 Pu 0.0000 0.0000 0.5257 (multiplicity 1)
3 Pt 0.5000 0.5000 0.7766 (multiplicity 1)
4 Au 0.5000 0.5000 0.2460 (multiplicity 1)



# DyPuPtAu

A geometry-optimized DyPuPtAu structure (PBE, Alexandria).

Calculated values
E_form: -3.05 eV per formula unit
size of the total moment: 22.393 Bohr magnetons per cell

Cell: 7.1242 7.1242 7.1242 Å, 90.00 90.00 90.00°
Space group F-43m (No. 216)
Asymmetric unit:
1 Dy 0.0000 0.0000 0.0000 (multiplicity 4)
2 Pu 0.0000 0.0000 0.5000 (multiplicity 4)
3 Pt 0.2500 0.2500 0.2500 (multiplicity 4)
4 Au 0.2500 0.2500 0.7500 (multiplicity 4)



# DyPtRhAu

A geometry-optimized DyPtRhAu structure (PBE, Alexandria).

Calculated values
E_form: -3.16 eV per formula unit
size of the total moment: 0.000 Bohr magnetons per cell

Cell: 3.9982 4.1848 4.2514 Å, 90.00 90.00 90.00°
Space group Pmmm (No. 47)
Asymmetric unit:
1 Dy 0.0000 0.0000 0.0000 (multiplicity 1)
2 Pt 0.5000 0.0000 0.5000 (multiplicity 1)
3 Rh 0.5000 0.5000 0.0000 (multiplicity 1)
4 Au 0.0000 0.5000 0.5000 (multiplicity 1)